An optimized crystal structure of Ho2ErAg3Te6. Source: the Alexandria database, functional PBE.

abc: 10.1671 10.1671 8.4393
angles: 103.15 103.15 24.77
Closest atoms and distances in Å follow each position.
Positions (direct):
Ho (0.1737, 0.1737, 0.3064)  6 Te 3.09-3.14
Ho (0.8263, 0.8263, 0.6936)  6 Te 3.09-3.14
Er (0.5000, 0.5000, 0.0000)  6 Te 3.06-3.08
Ag (0.2042, 0.2042, 0.7842)  3 Te 2.80-2.85
Ag (0.5000, 0.5000, 0.5000)  6 Te 3.03-3.18
Ag (0.7958, 0.7958, 0.2158)  3 Te 2.80-2.85
Te (0.0146, 0.0146, 0.2608)  2 Ag 3.03, 2 Er 3.06, 1 Ho 3.09
Te (0.3355, 0.3355, 0.4344)  3 Ag 2.85-3.18, 3 Ho 3.12-3.14
Te (0.3421, 0.3421, 0.9615)  1 Ag 2.80, 1 Er 3.08, 2 Ho 3.10
Te (0.6579, 0.6579, 0.0385)  1 Ag 2.80, 1 Er 3.08, 2 Ho 3.10
Te (0.6645, 0.6645, 0.5656)  3 Ag 2.85-3.18, 3 Ho 3.12-3.14
Te (0.9854, 0.9854, 0.7392)  2 Ag 3.03, 2 Er 3.06, 1 Ho 3.09

Computed properties:
raw formation energy = -0.831 eV per atom
total magnetization = 0.000 μB per formula unit